[1]
Material: Pr2PuSe4
Method: DFT, PBE
State: relaxed

Properties
* Fermi-level density of states: 65.431 states/eV/cell
* E_form (uncorrected): -1.72 eV per atom

abc: 4.1489 14.0036 14.1343
angles: 90.00 90.00 90.00
Space group Cmcm (No. 63)
Inequivalent atoms, fractional coordinates:
Pr 0.0000 0.1327 0.0704 x8
Pu 0.0000 0.3785 0.2500 x4
Se 0.0000 0.0276 0.2500 x4
Se 0.0000 0.2235 0.6254 x8
Se 0.0000 0.5000 0.0000 x4

***

[2]
Material: Rb8In11
Method: DFT, PBE
State: relaxed

Properties
* ΔE_f: -2.9 eV/f.u.
* Fermi-level density of states: 34.682 states/eV/cell

abc: 10.3982 10.3982 52.9116
angles: 90.00 90.00 120.00
Space group R-3c (No. 167, hexagonal axes)
Inequivalent atoms, fractional coordinates:
Rb 0.0000 0.0000 0.0791 x12
Rb 0.0343 0.2987 0.1448 x36
In 0.0000 0.0000 0.2014 x12
In 0.0000 0.2045 0.7500 x18
In 0.0073 0.2861 0.2203 x36

***

no.,energy (eV per atom)
1,-7.1220
2,-2.1440